No. 1
{
  "formula": "TcMo6W",
  "functional": "GGA-PBE",
  "state": "relaxed",
  "lattice": [[5.0287, 0.0000, 0.0000], [0.0098, 5.0373, 0.0000], [0.0094, 0.0057, 5.0387]],
  "species": ["Tc", "Mo", "Mo", "Mo", "Mo", "Mo", "Mo", "W"],
  "frac_coords": [[0.0000, 0.0000, 0.0000], [0.0005, 0.4994, 0.7509], [0.9995, 0.5006, 0.2491], [0.2492, 0.9997, 0.5008], [0.4992, 0.7507, 0.0000], [0.5008, 0.2493, 0.0000], [0.7508, 0.0003, 0.4992], [0.5000, 0.5000, 0.5000]],
  "final_energy_ev_per_atom": -10.99,
  "sg": "P-1",
  "relative_energy_mev_per_atom": 27,
  "ef_mev_per_atom": 48
}

***

No. 2
{
  "formula": "TcMo4W3",
  "functional": "GGA-PBE",
  "state": "relaxed",
  "lattice": [[4.4664, 0.0000, 0.0000], [0.0000, 4.4664, 0.0000], [0.0000, 0.0000, 6.3449]],
  "species": ["Tc", "Mo", "Mo", "Mo", "Mo", "W", "W", "W"],
  "frac_coords": [[0.0000, 0.0000, 0.0000], [0.0000, 0.5000, 0.2505], [0.0000, 0.5000, 0.7495], [0.5000, 0.0000, 0.2505], [0.5000, 0.0000, 0.7495], [0.0000, 0.0000, 0.5000], [0.5000, 0.5000, 0.0000], [0.5000, 0.5000, 0.5000]],
  "final_energy_ev_per_atom": -11.55,
  "sg": "P4/mmm",
  "ef_mev_per_atom": 21
}

***

No. 3
{
  "formula": "TcMo5W",
  "functional": "GGA-PBE",
  "state": "relaxed",
  "lattice": [[3.0496, -4.0495, 0.0000], [3.0496, 4.0495, 0.0000], [-2.9557, 0.0000, 9.2056]],
  "species": ["Tc", "Tc", "Mo", "Mo", "Mo", "Mo", "Mo", "Mo", "Mo", "Mo", "Mo", "Mo", "W", "W"],
  "frac_coords": [[0.2456, 0.7544, 0.7500], [0.7544, 0.2456, 0.2500], [0.0941, 0.2848, 0.5370], [0.1094, 0.8906, 0.2500], [0.2848, 0.0941, 0.0370], [0.3264, 0.4528, 0.3428], [0.4528, 0.3264, 0.8428], [0.5472, 0.6736, 0.1572], [0.6736, 0.5472, 0.6572], [0.7152, 0.9059, 0.9630], [0.8906, 0.1094, 0.7500], [0.9059, 0.7152, 0.4630], [0.0000, 0.5000, 0.0000], [0.5000, 0.0000, 0.5000]],
  "final_energy_ev_per_atom": -10.70,
  "sg": "C2/c",
  "ef_mev_per_atom": 371
}

***

Please write out number 3 again, unchanged.
{
  "formula": "TcMo5W",
  "functional": "GGA-PBE",
  "state": "relaxed",
  "lattice": [[3.0496, -4.0495, 0.0000], [3.0496, 4.0495, 0.0000], [-2.9557, 0.0000, 9.2056]],
  "species": ["Tc", "Tc", "Mo", "Mo", "Mo", "Mo", "Mo", "Mo", "Mo", "Mo", "Mo", "Mo", "W", "W"],
  "frac_coords": [[0.2456, 0.7544, 0.7500], [0.7544, 0.2456, 0.2500], [0.0941, 0.2848, 0.5370], [0.1094, 0.8906, 0.2500], [0.2848, 0.0941, 0.0370], [0.3264, 0.4528, 0.3428], [0.4528, 0.3264, 0.8428], [0.5472, 0.6736, 0.1572], [0.6736, 0.5472, 0.6572], [0.7152, 0.9059, 0.9630], [0.8906, 0.1094, 0.7500], [0.9059, 0.7152, 0.4630], [0.0000, 0.5000, 0.0000], [0.5000, 0.0000, 0.5000]],
  "final_energy_ev_per_atom": -10.70,
  "sg": "C2/c",
  "ef_mev_per_atom": 371
}